1.
# Ta3Bi7O18

A crystal of Ta3Bi7O18 relaxed with PBEsol (meta-GGA SCAN, Alexandria).

Unit cell a=6.5977 b=7.6022 c=16.4287 alpha=103.27 beta=93.14 gamma=90.05
Last column: nearest neighbours and their distance in Å.
Fractional positions:
Ta (0.0000, 0.0000, 0.0000)  6 O 1.92-2.07
Ta (0.0012, 0.4978, 0.9990)  6 O 1.96-2.02
Ta (0.3653, 0.1954, 0.3926)  6 O 1.92-2.10
Ta (0.3690, 0.6944, 0.3931)  6 O 1.90-2.10
Ta (0.6020, 0.8131, 0.6205)  6 O 1.94-2.05
Ta (0.6067, 0.3080, 0.6175)  6 O 1.90-2.11
Bi (0.0779, 0.0541, 0.6159)  3 O 2.11-2.24
Bi (0.1470, 0.5608, 0.6049)  3 O 2.11-2.33
Bi (0.1762, 0.3577, 0.2111)  3 O 2.23-2.26
Bi (0.1817, 0.8351, 0.1790)  6 O 2.29-2.53
Bi (0.2929, 0.8945, 0.8175)  5 O 2.32-2.43
Bi (0.2986, 0.3904, 0.7940)  6 O 2.34-2.49
Bi (0.4589, 0.2564, 0.0056)  4 O 2.23-2.46
Bi (0.5380, 0.7445, 0.9978)  4 O 2.21-2.34
Bi (0.6547, 0.1063, 0.2173)  5 O 2.28-2.42
Bi (0.6637, 0.6061, 0.2156)  5 O 2.32-2.46
Bi (0.7884, 0.1607, 0.8268)  4 O 2.24-2.36
Bi (0.8014, 0.6427, 0.7900)  5 O 2.27-2.53
Bi (0.8309, 0.4535, 0.4065)  3 O 2.12-2.27
Bi (0.9014, 0.9473, 0.3952)  3 O 2.10-2.27
O (0.0423, 0.5174, 0.1236)  1 Ta 2.02, 1 Bi 2.23
O (0.0603, 0.2386, 0.9735)  2 Ta 1.96-2.00
O (0.0606, 0.1284, 0.7469)  2 Bi 2.11-2.26
O (0.0813, 0.1006, 0.1174)  1 Ta 1.95
O (0.0831, 0.2497, 0.4054)  1 Ta 1.92
O (0.0868, 0.6534, 0.4082)  1 Ta 1.93
O (0.1355, 0.6160, 0.7364)  1 Bi 2.11
O (0.2923, 0.9392, 0.9689)  1 Ta 2.05
O (0.2956, 0.5412, 0.9939)  1 Ta 1.98, 1 Bi 2.21
O (0.3019, 0.8599, 0.6429)  1 Ta 2.05, 1 Bi 2.19
O (0.3027, 0.9521, 0.4076)  2 Ta 1.97
O (0.3038, 0.2832, 0.6485)  1 Ta 2.11, 2 Bi 2.24-2.34
O (0.3371, 0.6675, 0.2647)  1 Ta 2.07, 1 Bi 2.31
O (0.3386, 0.0921, 0.2655)  1 Ta 2.05, 1 Bi 2.28
O (0.4163, 0.4299, 0.3629)  2 Ta 1.99
O (0.4487, 0.1818, 0.8663)  4 Bi 2.23-2.38
O (0.4820, 0.2840, 0.5040)  2 Ta 1.92-1.97
O (0.4898, 0.3325, 0.1628)  4 Bi 2.25-2.51
O (0.4932, 0.7171, 0.5025)  2 Ta 1.90-2.00
O (0.4960, 0.6700, 0.8514)  4 Bi 2.29-2.46
O (0.5140, 0.8254, 0.1417)  4 Bi 2.31-2.46
O (0.5470, 0.5728, 0.6444)  2 Ta 1.99-2.00
O (0.6425, 0.3301, 0.7420)  1 Ta 2.01
O (0.6460, 0.9126, 0.7424)  1 Ta 1.98
O (0.6611, 0.0494, 0.5973)  2 Ta 1.95-1.96
O (0.6675, 0.1403, 0.3616)  1 Ta 2.10, 2 Bi 2.26-2.32
O (0.6690, 0.7186, 0.3595)  1 Ta 2.10, 2 Bi 2.27-2.32
O (0.7087, 0.4568, 0.0034)  1 Ta 1.96
O (0.7165, 0.0544, 0.0030)  1 Ta 1.92
O (0.8350, 0.3888, 0.2743)  2 Bi 2.12-2.36
O (0.8818, 0.3567, 0.6009)  1 Ta 1.90
O (0.8846, 0.7529, 0.6032)  1 Ta 1.94
O (0.9157, 0.8837, 0.2647)  2 Bi 2.10-2.29
O (0.9541, 0.7650, 0.0270)  2 Ta 1.96-2.01
O (0.9579, 0.8949, 0.8723)  1 Ta 2.07, 1 Bi 2.29
O (0.9633, 0.4862, 0.8760)  1 Ta 2.00

* final energy: -1831.2 eV for the cell shown
* Fermi-level density of states: 0.00 states/eV per cell
* uncorrected formation energy: -44.16 kcal/mol of atoms
* crystal system: triclinic
* total moment: 0.00 Bohr magnetons per cell
* energy above the most stable polymorph in this dataset: 0.000 eV/atom
* space-group type: P1 (1)

***

2.
# TaBiO4

A crystal of TaBiO4 relaxed with PBEsol (meta-GGA SCAN, Alexandria).

Unit cell a=5.5471 b=7.6780 c=7.7292 alpha=77.94 beta=89.91 gamma=86.71
Last column: nearest neighbours and their distance in Å.
Fractional positions:
Ta (0.2222, 0.1572, 0.1950)  5 O 1.90-2.04
Ta (0.2450, 0.1742, 0.6943)  6 O 1.93-2.03
Ta (0.7550, 0.8258, 0.3057)  6 O 1.93-2.03
Ta (0.7778, 0.8428, 0.8050)  5 O 1.90-2.04
Bi (0.2341, 0.6207, 0.1146)  4 O 2.25-2.41
Bi (0.2924, 0.6699, 0.6097)  4 O 2.21-2.38
Bi (0.7076, 0.3301, 0.3903)  4 O 2.21-2.38
Bi (0.7659, 0.3793, 0.8854)  4 O 2.25-2.41
O (0.0111, 0.6075, 0.8228)  1 Ta 2.14, 2 Bi 2.25-2.26
O (0.0403, 0.6690, 0.3675)  1 Ta 1.93
O (0.0829, 0.9474, 0.7197)  2 Ta 1.97-1.98
O (0.1493, 0.1788, 0.9460)  2 Ta 1.94-2.02
O (0.3085, 0.1700, 0.4483)  2 Ta 1.94-2.04
O (0.4356, 0.9518, 0.2134)  2 Ta 1.90-2.02
O (0.4446, 0.3910, 0.6730)  1 Ta 2.03, 1 Bi 2.21
O (0.4577, 0.3458, 0.1365)  1 Ta 1.99
O (0.5423, 0.6542, 0.8635)  1 Ta 1.99
O (0.5554, 0.6090, 0.3270)  1 Ta 2.03, 1 Bi 2.21
O (0.5644, 0.0482, 0.7866)  2 Ta 1.90-2.02
O (0.6915, 0.8300, 0.5517)  2 Ta 1.94-2.04
O (0.8507, 0.8212, 0.0540)  2 Ta 1.94-2.02
O (0.9171, 0.0526, 0.2803)  2 Ta 1.97-1.98
O (0.9597, 0.3310, 0.6325)  1 Ta 1.93
O (0.9889, 0.3925, 0.1772)  1 Ta 2.14, 2 Bi 2.25-2.26

* final energy: -736.2 eV for the cell shown
* Fermi-level density of states: 0.00 states/eV per cell
* uncorrected formation energy: -53.69 kcal/mol of atoms
* crystal system: triclinic
* total moment: 0.00 Bohr magnetons per cell
* space-group type: P-1 (2)

***

3.
# YTaBi2O7

A crystal of YTaBi2O7 relaxed with PBEsol (meta-GGA SCAN, Alexandria).

Unit cell a=7.6100 b=7.6100 c=7.6100 alpha=120.49 beta=119.52 gamma=89.99
Last column: nearest neighbours and their distance in Å.
Fractional positions:
Y (0.5000, 0.0000, 0.0000)  6 O 2.22-2.29
Y (0.5000, 0.5000, 0.5000)  6 O 2.22-2.29
Ta (0.0000, 0.0000, 0.0000)  6 O 1.93-2.00
Ta (0.5000, 0.0000, 0.5000)  6 O 1.93-2.00
Bi (0.0000, 0.0000, 0.5000)  6 O 2.28-2.45
Bi (0.0000, 0.5000, 0.0000)  6 O 2.28-2.45
Bi (0.0000, 0.5000, 0.5000)  4 O 2.38-2.44
Bi (0.5000, 0.5000, 0.0000)  4 O 2.38-2.44
O (0.1194, 0.3694, 0.7500)  4 Bi 2.28-2.38
O (0.1393, 0.3205, 0.2060)  1 Ta 2.00
O (0.1393, 0.9332, 0.8188)  1 Ta 2.00
O (0.2289, 0.9789, 0.2500)  2 Ta 1.93
O (0.3856, 0.0668, 0.7060)  1 Ta 2.00
O (0.3856, 0.6795, 0.3188)  1 Ta 2.00
O (0.3907, 0.6407, 0.7500)  2 Y 2.22, 2 Bi 2.44
O (0.6093, 0.3593, 0.2500)  2 Y 2.22, 2 Bi 2.44
O (0.6144, 0.3205, 0.6812)  1 Ta 2.00
O (0.6144, 0.9332, 0.2940)  1 Ta 2.00
O (0.7711, 0.0211, 0.7500)  2 Ta 1.93
O (0.8607, 0.0668, 0.1812)  1 Ta 2.00
O (0.8607, 0.6795, 0.7940)  1 Ta 2.00
O (0.8806, 0.6306, 0.2500)  4 Bi 2.28-2.38

* final energy: -643.0 eV for the cell shown
* Fermi-level density of states: 0.00 states/eV per cell
* uncorrected formation energy: -55.11 kcal/mol of atoms
* crystal system: orthorhombic
* total moment: 0.00 Bohr magnetons per cell
* space-group type: Imma (74)

***

4.
# TbBi3O6

A crystal of TbBi3O6 relaxed with PBEsol (meta-GGA SCAN, Alexandria).

Unit cell a=9.4844 b=9.4844 c=9.4844 alpha=109.47 beta=109.47 gamma=109.47
Last column: nearest neighbours and their distance in Å.
Fractional positions:
Tb (0.0000, 0.0000, 0.0000)  6 O 2.30
Tb (0.0000, 0.5000, 0.5000)  6 O 2.30
Tb (0.5000, 0.0000, 0.5000)  6 O 2.30
Tb (0.5000, 0.5000, 0.0000)  6 O 2.30
Bi (0.0311, 0.7811, 0.2500)  6 O 2.31-2.47
Bi (0.2189, 0.7500, 0.9689)  6 O 2.31-2.47
Bi (0.2500, 0.0311, 0.7811)  6 O 2.31-2.47
Bi (0.2500, 0.5311, 0.2811)  6 O 2.31-2.47
Bi (0.2811, 0.2500, 0.5311)  6 O 2.31-2.47
Bi (0.4689, 0.7189, 0.7500)  6 O 2.31-2.47
Bi (0.5311, 0.2811, 0.2500)  6 O 2.31-2.47
Bi (0.7189, 0.7500, 0.4689)  6 O 2.31-2.47
Bi (0.7500, 0.4689, 0.7189)  6 O 2.31-2.47
Bi (0.7500, 0.9689, 0.2189)  6 O 2.31-2.47
Bi (0.7811, 0.2500, 0.0311)  6 O 2.31-2.47
Bi (0.9689, 0.2189, 0.7500)  6 O 2.31-2.47
O (0.0139, 0.4661, 0.7325)  1 Tb 2.30, 3 Bi 2.31-2.47
O (0.0339, 0.0478, 0.2664)  1 Tb 2.30, 3 Bi 2.31-2.47
O (0.0478, 0.2664, 0.0339)  1 Tb 2.30, 3 Bi 2.31-2.47
O (0.2187, 0.4522, 0.4861)  1 Tb 2.30, 3 Bi 2.31-2.47
O (0.2325, 0.7664, 0.7187)  1 Tb 2.30, 3 Bi 2.31-2.47
O (0.2336, 0.2813, 0.7675)  1 Tb 2.30, 3 Bi 2.31-2.47
O (0.2664, 0.0339, 0.0478)  1 Tb 2.30, 3 Bi 2.31-2.47
O (0.2675, 0.9861, 0.5339)  1 Tb 2.30, 3 Bi 2.31-2.47
O (0.2813, 0.7675, 0.2336)  1 Tb 2.30, 3 Bi 2.31-2.47
O (0.4522, 0.4861, 0.2187)  1 Tb 2.30, 3 Bi 2.31-2.47
O (0.4661, 0.7325, 0.0139)  1 Tb 2.30, 3 Bi 2.31-2.47
O (0.4861, 0.2187, 0.4522)  1 Tb 2.30, 3 Bi 2.31-2.47
O (0.5139, 0.7813, 0.5478)  1 Tb 2.30, 3 Bi 2.31-2.47
O (0.5339, 0.2675, 0.9861)  1 Tb 2.30, 3 Bi 2.31-2.47
O (0.5478, 0.5139, 0.7813)  1 Tb 2.30, 3 Bi 2.31-2.47
O (0.7187, 0.2325, 0.7664)  1 Tb 2.30, 3 Bi 2.31-2.47
O (0.7325, 0.0139, 0.4661)  1 Tb 2.30, 3 Bi 2.31-2.47
O (0.7336, 0.9661, 0.9522)  1 Tb 2.30, 3 Bi 2.31-2.47
O (0.7664, 0.7187, 0.2325)  1 Tb 2.30, 3 Bi 2.31-2.47
O (0.7675, 0.2336, 0.2813)  1 Tb 2.30, 3 Bi 2.31-2.47
O (0.7813, 0.5478, 0.5139)  1 Tb 2.30, 3 Bi 2.31-2.47
O (0.9522, 0.7336, 0.9661)  1 Tb 2.30, 3 Bi 2.31-2.47
O (0.9661, 0.9522, 0.7336)  1 Tb 2.30, 3 Bi 2.31-2.47
O (0.9861, 0.5339, 0.2675)  1 Tb 2.30, 3 Bi 2.31-2.47

* final energy: -1349.7 eV for the cell shown
* Fermi-level density of states: 0.00 states/eV per cell
* uncorrected formation energy: -40.46 kcal/mol of atoms
* crystal system: cubic
* total moment: 0.00 Bohr magnetons per cell
* space-group type: Ia-3 (206)

***

5.
# Tb2Bi2O7

A crystal of Tb2Bi2O7 relaxed with PBEsol (meta-GGA SCAN, Alexandria).

Unit cell a=7.6440 b=7.6440 c=7.6440 alpha=60.00 beta=60.00 gamma=60.00
Last column: nearest neighbours and their distance in Å.
Fractional positions:
Tb (0.0000, 0.0000, 0.0000)  8 O 2.34-2.48
Tb (0.0000, 0.0000, 0.5000)  8 O 2.34-2.48
Tb (0.0000, 0.5000, 0.0000)  8 O 2.34-2.48
Tb (0.5000, 0.0000, 0.0000)  8 O 2.34-2.48
Bi (0.0000, 0.5000, 0.5000)  6 O 2.21
Bi (0.5000, 0.0000, 0.5000)  6 O 2.21
Bi (0.5000, 0.5000, 0.0000)  6 O 2.21
Bi (0.5000, 0.5000, 0.5000)  6 O 2.21
O (0.1250, 0.1250, 0.1250)  4 Tb 2.34
O (0.1466, 0.1466, 0.6034)  2 Bi 2.21
O (0.1466, 0.6034, 0.1466)  2 Bi 2.21
O (0.1466, 0.6034, 0.6034)  2 Bi 2.21
O (0.3966, 0.3966, 0.8534)  2 Bi 2.21
O (0.3966, 0.8534, 0.3966)  2 Bi 2.21
O (0.3966, 0.8534, 0.8534)  2 Bi 2.21
O (0.6034, 0.1466, 0.1466)  2 Bi 2.21
O (0.6034, 0.1466, 0.6034)  2 Bi 2.21
O (0.6034, 0.6034, 0.1466)  2 Bi 2.21
O (0.8534, 0.3966, 0.3966)  2 Bi 2.21
O (0.8534, 0.3966, 0.8534)  2 Bi 2.21
O (0.8534, 0.8534, 0.3966)  2 Bi 2.21
O (0.8750, 0.8750, 0.8750)  4 Tb 2.34

* final energy: -636.8 eV for the cell shown
* Fermi-level density of states: 12.29 states/eV per cell
* uncorrected formation energy: -50.57 kcal/mol of atoms
* crystal system: cubic
* total moment: 0.01 Bohr magnetons per cell
* space-group type: Fd-3m (227)

***

6.
# TbBi5O9

A crystal of TbBi5O9 relaxed with PBEsol (meta-GGA SCAN, Alexandria).

Unit cell a=3.7868 b=6.8495 c=9.3261 alpha=95.03 beta=100.33 gamma=92.37
Last column: nearest neighbours and their distance in Å.
Fractional positions:
Tb (0.0000, 0.0000, 0.0000)  7 O 2.31-2.38
Bi (0.2226, 0.4182, 0.3650)  5 O 2.22-2.48
Bi (0.3661, 0.1195, 0.6685)  5 O 2.23-2.45
Bi (0.5279, 0.4728, 0.0234)  6 O 2.29-2.52
Bi (0.7412, 0.8888, 0.3602)  4 O 2.16-2.40
Bi (0.8717, 0.6264, 0.6896)  4 O 2.15-2.32
O (0.0791, 0.3126, 0.1276)  3 Bi 2.23-2.48, 1 Tb 2.34
O (0.3292, 0.7637, 0.4755)  2 Bi 2.23-2.48
O (0.3891, 0.4527, 0.7197)  3 Bi 2.21-2.32
O (0.4703, 0.1592, 0.9122)  2 Bi 2.23-2.29, 2 Tb 2.36-2.37
O (0.5411, 0.9165, 0.1318)  1 Bi 2.16, 2 Tb 2.31-2.38
O (0.6684, 0.5598, 0.2789)  4 Bi 2.22-2.39
O (0.6707, 0.2103, 0.4715)  3 Bi 2.39-2.45
O (0.8594, 0.9541, 0.7423)  3 Bi 2.26-2.42, 1 Tb 2.36
O (0.9926, 0.6597, 0.9254)  1 Bi 2.15, 1 Tb 2.37

* final energy: -518.6 eV for the cell shown
* Fermi-level density of states: 0.00 states/eV per cell
* uncorrected formation energy: -35.13 kcal/mol of atoms
* crystal system: triclinic
* total moment: 0.00 Bohr magnetons per cell
* space-group type: P1 (1)